Entry 1:
First-principles (PBE) data for a relaxed structure of KFeRh, as listed in Alexandria via LeMat-Bulk.

Cell lengths 4.141, 4.141, 8.942 Å; angles 90.00, 90.00, 90.00 degrees
Element x y z (fractional)
Rh: 0.500 0.000 0.352
Rh: 0.000 0.500 0.648
K: 0.500 0.000 0.829
K: 0.000 0.500 0.171
Fe: 0.000 0.000 0.500
Fe: 0.500 0.500 0.500

Raw total energy, eV/atom: -5.253
Formation energy from the elements, eV/atom: 0.38
Distance to the lowest polymorph of the same formula, meV per atom: 76
Fermi-level density of states, states/eV/cell: 2.14


Entry 2:
First-principles (PBE) data for a relaxed structure of K2FeRh, as listed in Alexandria via LeMat-Bulk.

Cell lengths 11.403, 11.403, 11.403 Å; angles 14.84, 14.84, 14.84 degrees
Element x y z (fractional)
K: 0.505 0.505 0.505
K: 0.995 0.995 0.995
Rh: 0.250 0.250 0.250
Fe: 0.750 0.750 0.750

Raw total energy, eV/atom: -3.427
Formation energy from the elements, eV/atom: 1.08
Distance to the lowest polymorph of the same formula, meV per atom: 621
Fermi-level density of states, states/eV/cell: 4.08


Entry 3:
First-principles (PBE) data for a relaxed structure of KFeRh, as listed in Alexandria via LeMat-Bulk.

Cell lengths 8.428, 6.775, 6.781 Å; angles 26.61, 128.67, 128.65 degrees
Element x y z (fractional)
K: 0.611 0.818 0.849
K: 0.186 0.999 0.022
Fe: 0.836 0.189 0.216
Fe: 0.962 0.627 0.655
Rh: 0.229 0.289 0.317
Rh: 0.568 0.528 0.554

Raw total energy, eV/atom: -5.111
Formation energy from the elements, eV/atom: 0.53
Distance to the lowest polymorph of the same formula, meV per atom: 218
Fermi-level density of states, states/eV/cell: 4.69